Entry from the Alexandria database: a relaxed Tb2PmAlC crystal (PBE).

Values from the calculation:
theoretical density: 6826 kg/m3
total DFT energy (no corrections): -5.709 eV/atom

Structure (CIF):
```
data_Tb2PmAlC
_chemical_formula_sum 'Tb2 Pm1 Al1 C1'
_cell_length_a 4.920
_cell_length_b 4.920
_cell_length_c 5.044
_cell_angle_alpha 90.00
_cell_angle_beta 90.00
_cell_angle_gamma 90.00
_space_group_name_H-M_alt 'P 4/m m m'
_space_group_IT_number 123
_space_group_name_Hall '-P 4 2'
loop_
_atom_site_label
_atom_site_type_symbol
_atom_site_fract_x
_atom_site_fract_y
_atom_site_fract_z
Tb1 Tb 0.000 0.500 0.000
Pm1 Pm 0.000 0.000 0.500
Al1 Al 0.500 0.500 0.500
C1 C 0.000 0.000 0.000
```



Entry from the Alexandria database: a relaxed Na2SiSnF8 crystal (PBE).

Values from the calculation:
theoretical density: 3260 kg/m3
ΔE_f (raw): -2810 meV/atom

Structure (CIF):
```
data_Na2SiSnF8
_chemical_formula_sum 'Na2 Si1 Sn1 F8'
_cell_length_a 4.948
_cell_length_b 7.059
_cell_length_c 5.028
_cell_angle_alpha 90.00
_cell_angle_beta 90.65
_cell_angle_gamma 90.00
_space_group_name_H-M_alt 'P 1 2/m 1'
_space_group_IT_number 10
loop_
_space_group_symop_operation_xyz
'x,y,z'
'-x,-y,-z'
'-x,y,-z'
'x,-y,z'
loop_
_atom_site_label
_atom_site_type_symbol
_atom_site_fract_x
_atom_site_fract_y
_atom_site_fract_z
Na1 Na 0.000 0.238 0.000
Si1 Si 0.500 0.000 0.500
Sn1 Sn 0.500 0.500 0.500
F1 F 0.184 0.500 0.808
F2 F 0.258 0.000 0.740
F3 F 0.325 0.175 0.329
```



Entry from the Alexandria database: a relaxed ReTcRu crystal (PBE).

Values from the calculation:
theoretical density: 14394 kg/m3
relative energy among the computed polymorphs: 0.3170 eV per atom

Structure (CIF):
```
data_ReTcRu
_chemical_formula_sum 'Re2 Tc2 Ru2'
_cell_length_a 3.223
_cell_length_b 3.223
_cell_length_c 8.555
_cell_angle_alpha 90.00
_cell_angle_beta 90.00
_cell_angle_gamma 90.00
_space_group_name_H-M_alt 'I 4 m m'
_space_group_IT_number 107
_space_group_name_Hall 'I 4 -2'
loop_
_atom_site_label
_atom_site_type_symbol
_atom_site_fract_x
_atom_site_fract_y
_atom_site_fract_z
Re1 Re 0.000 0.000 0.000
Tc1 Tc 0.000 0.000 0.343
Ru1 Ru 0.000 0.000 0.668
```



Entry from the Alexandria database: a relaxed CaSbIr2 crystal (PBE).

Values from the calculation:
theoretical density: 12430 kg/m3
ΔE_f (raw): -70 meV/atom

Structure (CIF):
```
data_CaSbIr2
_chemical_formula_sum 'Ca2 Sb2 Ir4'
_cell_length_a 4.011
_cell_length_b 4.054
_cell_length_c 8.975
_cell_angle_alpha 90.00
_cell_angle_beta 90.00
_cell_angle_gamma 90.00
_space_group_name_H-M_alt 'I m m 2'
_space_group_IT_number 44
loop_
_space_group_symop_operation_xyz
'x,y,z'
'-x,-y,z'
'-x,y,z'
'x,-y,z'
'x+1/2,y+1/2,z+1/2'
'-x+1/2,-y+1/2,z+1/2'
'-x+1/2,y+1/2,z+1/2'
'x+1/2,-y+1/2,z+1/2'
loop_
_atom_site_label
_atom_site_type_symbol
_atom_site_fract_x
_atom_site_fract_y
_atom_site_fract_z
Ca1 Ca 0.000 0.000 0.000
Sb1 Sb 0.000 0.500 0.249
Ir1 Ir 0.000 0.000 0.501
Ir2 Ir 0.000 0.500 0.751
```



Entry from the Alexandria database: a relaxed PaHgSe2 crystal (PBE).

Values from the calculation:
theoretical density: 6731 kg/m3
relative energy among the computed polymorphs: 0.0000 eV per atom
ΔE_f (raw): -965 meV/atom

Structure (CIF):
```
data_PaHgSe2
_chemical_formula_sum 'Pa3 Hg3 Se6'
_cell_length_a 4.1595
_cell_length_b 4.1595
_cell_length_c 29.1227
_cell_angle_alpha 90.00
_cell_angle_beta 90.00
_cell_angle_gamma 120.00
_space_group_name_H-M_alt 'R 3 m'
_space_group_IT_number 160
_space_group_name_Hall 'R 3 -2"'
loop_
_atom_site_label
_atom_site_type_symbol
_atom_site_fract_x
_atom_site_fract_y
_atom_site_fract_z
Pa1 Pa 0.0000 0.0000 0.0000
Hg1 Hg 0.0000 0.0000 0.8316
Se1 Se 0.0000 0.0000 0.3868
Se2 Se 0.0000 0.0000 0.6135
```



Entry from the Alexandria database: a relaxed KY2PdRu crystal (PBE).

Values from the calculation:
theoretical density: 5803 kg/m3
total DFT energy (no corrections): -4.199 eV/atom

Structure (CIF):
```
data_KY2PdRu
_chemical_formula_sum 'K1 Y2 Pd1 Ru1'
_cell_length_a 5.252
_cell_length_b 5.252
_cell_length_c 4.403
_cell_angle_alpha 90.00
_cell_angle_beta 90.00
_cell_angle_gamma 90.00
_space_group_name_H-M_alt 'P 4/m m m'
_space_group_IT_number 123
_space_group_name_Hall '-P 4 2'
loop_
_atom_site_label
_atom_site_type_symbol
_atom_site_fract_x
_atom_site_fract_y
_atom_site_fract_z
K1 K 0.000 0.000 0.000
Y1 Y 0.000 0.500 0.000
Pd1 Pd 0.500 0.500 0.500
Ru1 Ru 0.000 0.000 0.500
```



Entry from the Alexandria database: a relaxed La3Pm2Pr2 crystal (PBE).

Values from the calculation:
theoretical density: 6501 kg/m3
relative energy among the computed polymorphs: 0.0000 eV per atom

Structure (CIF):
```
data_La3Pm2Pr2
_chemical_formula_sum 'La6 Pm4 Pr4'
_cell_length_a 11.751
_cell_length_b 5.248
_cell_length_c 8.270
_cell_angle_alpha 90.00
_cell_angle_beta 98.08
_cell_angle_gamma 90.00
_space_group_name_H-M_alt 'C 1 2/m 1'
_space_group_IT_number 12
loop_
_space_group_symop_operation_xyz
'x,y,z'
'-x,-y,-z'
'-x,y,-z'
'x,-y,z'
'x+1/2,y+1/2,z'
'-x+1/2,-y+1/2,-z'
'-x+1/2,y+1/2,-z'
'x+1/2,-y+1/2,z'
loop_
_atom_site_label
_atom_site_type_symbol
_atom_site_fract_x
_atom_site_fract_y
_atom_site_fract_z
La1 La 0.000 0.000 0.000
La2 La 0.142 0.000 0.428
Pm1 Pm 0.071 0.500 0.714
Pr1 Pr 0.215 0.500 0.143
```



Entry from the Alexandria database: a relaxed SmErHg5 crystal (PBE).

Values from the calculation:
theoretical density: 11733 kg/m3
total DFT energy (no corrections): -1.788 eV/atom

Structure (CIF):
```
data_SmErHg5
_chemical_formula_sum 'Sm2 Er2 Hg10'
_cell_length_a 6.486
_cell_length_b 8.274
_cell_length_c 6.965
_cell_angle_alpha 90.00
_cell_angle_beta 90.00
_cell_angle_gamma 90.00
_space_group_name_H-M_alt 'C m m m'
_space_group_IT_number 65
_space_group_name_Hall '-C 2 2'
loop_
_atom_site_label
_atom_site_type_symbol
_atom_site_fract_x
_atom_site_fract_y
_atom_site_fract_z
Sm1 Sm 0.000 0.000 0.000
Er1 Er 0.000 0.500 0.500
Hg1 Hg 0.000 0.000 0.500
Hg2 Hg 0.250 0.250 0.240
```